LiHgC2F | the Alexandria database | PBE-GGA | relaxed; raw formation energy = 1.46 eV per atom; DOS(E_F) = 1.73 states/eV/cell
1.0
4.1982 0.0000 0.0000
0.0000 4.1982 0.0000
0.0000 0.0000 3.4612
Li Hg C F
1 1 2 1
Cartesian
0.0000 0.0000 0.0000 Li
2.0991 2.0991 0.0000 Hg
0.0000 2.0991 1.7306 C
2.0991 0.0000 1.7306 C
0.0000 0.0000 1.7306 F

---

MgHgCF2 | the Alexandria database | PBE-GGA | relaxed; raw formation energy = 0.09 eV per atom; DOS(E_F) = 1.65 states/eV/cell
1.0
4.2896 0.0000 0.0000
0.0000 4.2896 0.0000
0.0000 0.0000 4.2132
Mg Hg C F
1 1 1 2
Cartesian
0.0000 0.0000 0.0000 Mg
2.1448 2.1448 0.0000 Hg
2.1448 2.1448 2.1066 C
0.0000 2.1448 2.1066 F
2.1448 0.0000 2.1066 F

---

NaHgCF2 | the Alexandria database | PBE-GGA | relaxed; raw formation energy = 0.39 eV per atom; DOS(E_F) = 3.48 states/eV/cell
1.0
4.3755 0.0000 0.0000
0.0000 4.3755 0.0000
0.0000 0.0000 7.0128
Na Hg C F
1 1 1 2
Cartesian
0.0000 0.0000 0.0000 Na
0.0000 0.0000 3.5064 Hg
2.1877 2.1877 0.0000 C
0.0000 2.1877 3.5064 F
2.1877 0.0000 3.5064 F

---

HgCSO3F3 | the Alexandria database | PBE-GGA | relaxed; raw formation energy = -1.24 eV per atom; DOS(E_F) = 0.00 states/eV/cell
1.0
5.3353 0.0000 0.0000
-0.3558 5.3297 0.0000
-1.1233 -1.4056 10.6665
Hg C S O F
2 2 2 6 6
Cartesian
0.6021 0.8054 0.8024 Hg
3.2542 3.1187 9.8641 Hg
0.4618 0.8897 6.8733 C
3.3944 3.0343 3.7931 C
1.2500 0.8033 8.5746 S
2.6062 3.1208 2.0919 S
0.2456 1.3335 9.4948 O
1.4255 2.2209 2.2767 O
1.6018 -0.5933 8.7596 O
2.2544 4.5174 1.9068 O
2.4307 1.7032 8.3898 O
3.6106 2.5905 1.1716 O
-0.5907 0.0417 6.8347 F
0.0276 2.1459 6.6341 F
1.3482 0.5348 5.9235 F
2.5080 3.3892 4.7430 F
3.8286 1.7781 4.0324 F
4.4469 3.8823 3.8318 F

---

Rb2HgCF | the Alexandria database | PBE-GGA | relaxed; raw formation energy = -0.22 eV per atom; DOS(E_F) = 1.56 states/eV/cell
1.0
6.1519 0.0000 0.0000
0.0000 6.1519 0.0000
0.0000 0.0000 3.9933
Rb Hg C F
2 1 1 1
Cartesian
0.0000 3.0760 0.0000 Rb
3.0760 0.0000 0.0000 Rb
0.0000 0.0000 1.9967 Hg
0.0000 0.0000 0.0000 C
3.0760 3.0760 1.9967 F

---

Tl2HgCF | the Alexandria database | PBE-GGA | relaxed; raw formation energy = 0.56 eV per atom; DOS(E_F) = 1.82 states/eV/cell
1.0
6.1476 0.0000 0.0000
0.0000 6.1476 0.0000
0.0000 0.0000 3.9622
Tl Hg C F
2 1 1 1
Cartesian
0.0000 3.0738 0.0000 Tl
3.0738 0.0000 0.0000 Tl
0.0000 0.0000 0.0000 Hg
0.0000 0.0000 1.9811 C
3.0738 3.0738 1.9811 F

---

TlHgC2F | the Alexandria database | PBE-GGA | relaxed; raw formation energy = 2.15 eV per atom; DOS(E_F) = 4.02 states/eV/cell
1.0
4.3758 0.0000 0.0000
0.0000 4.3758 0.0000
0.0000 0.0000 6.0701
Tl Hg C F
1 1 2 1
Cartesian
0.0000 0.0000 0.0000 Tl
0.0000 0.0000 3.0350 Hg
0.0000 2.1879 0.0000 C
2.1879 0.0000 0.0000 C
2.1879 2.1879 3.0350 F

---

ZnHg2CF | the Alexandria database | PBE-GGA | relaxed; raw formation energy = 1.06 eV per atom; DOS(E_F) = 3.05 states/eV/cell
1.0
5.4241 0.0000 0.0000
0.0000 5.4241 0.0000
0.0000 0.0000 3.6687
Zn Hg C F
1 2 1 1
Cartesian
0.0000 0.0000 0.0000 Zn
0.0000 2.7121 1.8343 Hg
2.7121 0.0000 1.8343 Hg
2.7121 2.7121 0.0000 C
2.7121 2.7121 1.8343 F

---

Ho2C2F | the Alexandria database | PBE-GGA | relaxed; raw formation energy = -1.30 eV per atom; DOS(E_F) = 1.56 states/eV/cell
1.0
6.3060 -2.1177 0.0000
6.3060 2.1177 0.0000
-2.0464 0.0000 5.9484
Ho C F
4 4 2
Cartesian
2.6705 1.3782 5.2863 Ho
6.8719 1.3782 3.6363 Ho
3.6937 -1.3782 2.3121 Ho
7.8951 -1.3782 0.6621 Ho
2.5514 0.5128 2.8879 C
1.5282 -0.5128 5.8621 C
9.0374 0.5128 0.0863 C
8.0142 -0.5128 3.0606 C
5.7944 1.9369 1.4871 F
4.7712 -1.9369 4.4613 F

---

Ho3C2F | the Alexandria database | PBE-GGA | relaxed; raw formation energy = -0.74 eV per atom; DOS(E_F) = 1.82 states/eV/cell
1.0
1.8164 -6.1005 0.0000
1.8164 6.1005 0.0000
0.0000 0.0000 10.5421
Ho C F
6 4 2
Cartesian
1.8164 5.0654 7.9066 Ho
1.8164 1.3866 6.0715 Ho
1.8164 1.3866 9.7416 Ho
1.8164 -1.3866 0.8004 Ho
1.8164 -1.3866 4.4706 Ho
1.8164 -5.0654 2.6355 Ho
0.0000 0.0000 0.0000 C
0.0000 0.0000 5.2710 C
1.8164 0.2919 7.9066 C
1.8164 -0.2919 2.6355 C
1.8164 2.7940 2.6355 F
1.8164 -2.7940 7.9066 F

---

Ho2CF2 | the Alexandria database | PBE-GGA | relaxed; raw formation energy = -2.41 eV per atom
1.0
3.0791 -1.7762 0.0000
3.0791 1.7762 0.0000
-2.2345 0.0000 7.9187
Ho C F
2 1 2
Cartesian
-0.0902 0.0000 2.5962 Ho
4.0140 0.0000 5.3225 Ho
1.9619 0.0000 3.9594 C
-0.0928 0.0000 6.4910 F
4.0166 0.0000 1.4277 F

---

Ho2CF2 | the Alexandria database | PBE-GGA | relaxed; raw formation energy = -2.44 eV per atom
1.0
3.6404 0.0000 0.0000
-1.8202 3.1527 0.0000
0.0000 0.0000 6.4243
Ho C F
2 1 2
Cartesian
0.0000 2.1018 1.3478 Ho
1.8202 1.0509 5.0765 Ho
0.0000 0.0000 0.0000 C
0.0000 2.1018 3.9679 F
1.8202 1.0509 2.4563 F

---

Ho4C2NF | the Alexandria database | PBE-GGA | relaxed; raw formation energy = -1.31 eV per atom; DOS(E_F) = 0.73 states/eV/cell
1.0
6.0951 0.0000 0.0000
0.0000 3.5381 0.0000
-2.0076 0.0000 5.8069
Ho C N F
4 2 1 1
Cartesian
0.9418 0.0000 1.3339 Ho
-0.0365 1.7690 4.4001 Ho
4.1240 1.7690 1.4069 Ho
3.1457 0.0000 4.4730 Ho
-1.0038 0.0000 2.9035 C
0.0000 1.7690 0.0000 C
3.0475 0.0000 0.0000 N
2.0437 1.7690 2.9035 F

---

HoCN2F | the Alexandria database | PBE-GGA | relaxed; raw formation energy = -1.67 eV per atom; DOS(E_F) = 0.00 states/eV/cell
1.0
5.4507 0.0000 0.0000
0.0000 3.4841 0.0000
-0.6595 0.0000 6.5117
Ho C N F
2 2 4 2
Cartesian
0.5728 0.8710 1.7163 Ho
4.2184 2.6131 4.7954 Ho
1.3913 0.8710 5.4340 C
3.3999 2.6131 1.0778 C
0.1765 0.8710 5.7219 N
2.2152 2.6131 1.3504 N
2.5760 0.8710 5.1613 N
4.6147 2.6131 0.7898 N
0.5711 2.6131 3.3141 F
4.2201 0.8710 3.1976 F

---

La6C2I3F | the Alexandria database | PBE-GGA | relaxed; raw formation energy = -1.08 eV per atom; DOS(E_F) = 4.08 states/eV/cell
1.0
3.4386 -5.9601 0.0000
3.4386 5.9601 0.0000
-2.2989 0.0000 7.8723
La C I F
6 2 3 1
Cartesian
-0.0552 2.0734 6.4878 La
1.0466 0.0000 1.3848 La
-0.0552 -2.0734 6.4878 La
4.6335 2.0734 1.3845 La
3.5317 0.0000 6.4875 La
4.6335 -2.0734 1.3845 La
3.4386 3.9796 0.0000 C
3.4386 -3.9796 0.0000 C
-1.1495 0.0000 3.9362 I
2.2891 1.9829 3.9362 I
2.2891 -1.9829 3.9362 I
3.4386 0.0000 0.0000 F

---

La8C3I4F | the Alexandria database | PBE-GGA | relaxed; raw formation energy = -0.99 eV per atom; DOS(E_F) = 8.66 states/eV/cell
1.0
6.8807 -3.9609 0.0000
6.8807 3.9609 0.0000
-4.5893 0.0000 7.9112
La C I F
8 3 4 1
Cartesian
3.3866 2.0743 5.3423 La
0.0010 0.0000 5.3644 La
2.1808 0.0000 2.5656 La
5.7856 2.0743 2.5689 La
3.3866 -2.0743 5.3423 La
6.9913 0.0000 5.3457 La
9.1712 0.0000 2.5468 La
5.7856 -2.0743 2.5689 La
-2.2946 0.0000 3.9556 C
1.1457 1.9805 3.9556 C
1.1457 -1.9805 3.9556 C
0.0000 0.0000 0.0000 I
3.4404 1.9805 0.0000 I
3.4404 -1.9805 0.0000 I
6.8807 0.0000 0.0000 I
4.5861 0.0000 3.9556 F

---

Nd6C2I3F | the Alexandria database | PBE-GGA | relaxed; raw formation energy = -1.00 eV per atom; DOS(E_F) = 3.91 states/eV/cell
1.0
3.3792 -5.8597 0.0000
3.3792 5.8597 0.0000
-2.2584 0.0000 7.7235
Nd C I F
6 2 3 1
Cartesian
-0.0552 2.0433 6.3755 Nd
1.0236 0.0000 1.3487 Nd
-0.0552 -2.0433 6.3755 Nd
4.5552 2.0433 1.3481 Nd
3.4764 0.0000 6.3748 Nd
4.5552 -2.0433 1.3481 Nd
3.3792 3.9130 0.0000 C
3.3792 -3.9130 0.0000 C
-1.1292 0.0000 3.8618 I
2.2500 1.9568 3.8618 I
2.2500 -1.9568 3.8618 I
3.3792 0.0000 0.0000 F

---

Pm8C3I4F | the Alexandria database | PBE-GGA | relaxed; raw formation energy = -0.93 eV per atom; DOS(E_F) = 7.18 states/eV/cell
1.0
3.8755 2.2375 7.6619
-3.8755 2.2375 7.6619
0.0000 -4.4750 7.6619
Pm C I F
8 3 4 1
Cartesian
-2.0377 -1.1765 12.8153 Pm
0.0000 0.0000 5.1813 Pm
0.0000 -2.3529 10.1703 Pm
-2.0377 1.1765 10.1703 Pm
2.0377 -1.1765 12.8153 Pm
0.0000 2.3529 12.8153 Pm
0.0000 0.0000 17.8043 Pm
2.0377 1.1765 10.1703 Pm
-3.8755 0.0000 11.4928 C
-1.9377 1.1188 3.8309 C
1.9377 1.1188 3.8309 C
0.0000 0.0000 0.0000 I
-1.9377 -1.1188 7.6619 I
-1.9377 1.1188 15.3237 I
0.0000 2.2375 7.6619 I
0.0000 0.0000 11.4928 F

---

Rb2CIF6 | the Alexandria database | PBE-GGA | relaxed; raw formation energy = -1.47 eV per atom; DOS(E_F) = 0.00 states/eV/cell
1.0
-3.3242 3.3242 4.3627
3.3242 -3.3242 4.3627
3.3242 3.3242 -4.3627
Rb C I F
2 1 1 6
Cartesian
3.3242 0.0000 2.1813 Rb
0.0000 3.3242 2.1813 Rb
0.0000 0.0000 0.0000 C
0.0000 0.0000 4.3627 I
1.0876 1.0876 0.0000 F
2.2367 -2.2367 4.3627 F
0.0000 0.0000 1.6986 F
0.0000 0.0000 7.0267 F
-2.2367 2.2367 4.3627 F
2.2367 2.2367 4.3627 F

---

RhCIF2 | the Alexandria database | PBE-GGA | relaxed; raw formation energy = 1.18 eV per atom; DOS(E_F) = 9.30 states/eV/cell
1.0
4.6739 0.0000 0.0000
0.0000 4.6739 0.0000
0.0000 0.0000 4.1192
Rh C I F
1 1 1 2
Cartesian
0.0000 0.0000 0.0000 Rh
2.3369 2.3369 0.0000 C
2.3369 2.3369 2.0596 I
0.0000 2.3369 2.0596 F
2.3369 0.0000 2.0596 F